# 1
First-principles (PBE-GGA) data for K2UAu2S6 after structural relaxation, as listed in the Alexandria database.

## Properties
Calculated volume: 29.90 Å³/atom
Total DFT energy (no corrections): -52.1 eV/cell

Lattice parameters (Å, degrees): 7.3177 7.3177 7.0916 90.00 90.00 120.00
Space group P-3 (No. 147)
Unique sites:
K 0.3333 0.6667 0.2980
U 0.0000 0.0000 0.0000
Au 0.3333 0.6667 0.7979
S 0.0890 0.3040 0.7721

# 2
First-principles (PBE-GGA) data for Pu2Th2Hg3 after structural relaxation, as listed in the Alexandria database.

## Properties
E_form: -0.0720 eV per atom
Calculated volume: 26.39 Å³/atom

Lattice parameters (Å, degrees): 4.725 23.308 3.355 90.00 90.00 90.00
Space group Cmmm (No. 65)
Unique sites:
Pu 0.000 0.213 0.000
Th 0.000 0.075 0.000
Hg 0.000 0.348 0.500
Hg 0.000 0.500 0.500

# 3
First-principles (PBE-GGA) data for AlTlHg2 after structural relaxation, as listed in the Alexandria database.

## Properties
E_form: 0.1094 eV per atom
Calculated volume: 24.60 Å³/atom

Lattice parameters (Å, degrees): 3.279 3.279 9.155 90.00 90.00 90.00
Space group P4/mmm (No. 123)
Unique sites:
Al 0.000 0.000 0.000
Tl 0.000 0.000 0.500
Hg 0.500 0.500 0.213

# 4
First-principles (PBE-GGA) data for PaCu3P3 after structural relaxation, as listed in the Alexandria database.

## Properties
E_form: -0.4359 eV per atom
Calculated volume: 19.49 Å³/atom

Lattice parameters (Å, degrees): 9.0535 9.0535 3.8441 90.00 90.00 120.00
Space group P6_3/m (No. 176)
Unique sites:
Pa 0.3333 0.6667 0.2500
Cu 0.0405 0.6416 0.7500
P 0.1151 0.4174 0.7500

# 5
First-principles (PBE-GGA) data for Tb2NdCl after structural relaxation, as listed in the Alexandria database.

## Properties
Calculated volume: 29.13 Å³/atom
Total DFT energy (no corrections): -52.5 eV/cell

Lattice parameters (Å, degrees): 3.4582 3.4582 33.7541 90.00 90.00 120.00
Space group R-3m (No. 166, hexagonal axes)
Unique sites:
Tb 0.0000 0.0000 0.1011
Nd 0.0000 0.0000 0.0000
Cl 0.0000 0.0000 0.5000

# 6
First-principles (PBE-GGA) data for SmIn8Rh2 after structural relaxation, as listed in the Alexandria database.

## Properties
E_form: -0.2441 eV per atom
Calculated volume: 24.00 Å³/atom

Lattice parameters (Å, degrees): 8.812 11.776 5.191 90.00 101.44 90.00
Space group C2/m (No. 12)
Unique sites:
Sm 0.000 0.000 0.000
In 0.000 0.271 0.000
In 0.115 0.500 0.786
In 0.211 0.128 0.605
Rh 0.000 0.302 0.500